The following is a DFT calculation (PBE) of HfTiCr3 after structural relaxation.

abc: 4.3869 4.3869 4.3869
angles: 90.00 90.00 90.00
With the nearest neighbours (Å) after each atom.
Element x y z (fractional)
Cr 0.0000 0.0000 0.5000  2 Ti 2.19
Hf 0.5000 0.5000 0.5000  12 Cr 3.10
Ti 0.0000 0.0000 0.0000  6 Cr 2.19
Cr 0.5000 0.0000 0.0000  2 Ti 2.19
Cr 0.0000 0.5000 0.0000  2 Ti 2.19

Values from the calculation:
N(E_F) ... 1.422 states/eV/atom
Formation energy ... 1.0368 eV per atom
Electronic total energy ... -8.3069 eV/atom